(1)
A plane-wave DFT calculation with PBE-GGA was carried out for an optimized crystal structure of LaNdNiPd.

Cell lengths 4.532, 3.925, 10.796 Å; angles 90.00, 90.00, 90.00 degrees
Sites, in units of the cell vectors:
La 0.000 0.000 0.000
La 0.000 0.500 0.500
Nd 0.500 0.000 0.726
Nd 0.500 0.500 0.226
Ni 0.000 0.000 0.279
Ni 0.000 0.500 0.779
Pd 0.500 0.000 0.441
Pd 0.500 0.500 0.941

## Properties
- Fermi-level density of states: 5.23 states/eV per cell
- ΔE to the lowest computed polymorph: 0 meV/atom
- Total DFT energy (no corrections): -45.786 eV/cell
- Space group: Amm2 (38)

---

(2)
A plane-wave DFT calculation with PBE-GGA was carried out for an optimized crystal structure of CsMg2Te.

Cell lengths 9.593, 9.593, 7.209 Å; angles 90.00, 90.00, 90.00 degrees
Sites, in units of the cell vectors:
Cs 0.000 0.000 0.000
Cs 0.000 0.500 0.250
Cs 0.500 0.000 0.750
Cs 0.500 0.500 0.500
Mg 0.172 0.750 0.625
Mg 0.250 0.172 0.375
Mg 0.250 0.328 0.875
Mg 0.328 0.750 0.125
Mg 0.672 0.250 0.125
Mg 0.750 0.672 0.875
Mg 0.750 0.828 0.375
Mg 0.828 0.250 0.625
Te 0.000 0.000 0.500
Te 0.000 0.500 0.750
Te 0.500 0.000 0.250
Te 0.500 0.500 0.000

## Properties
- Fermi-level density of states: 17.84 states/eV per cell
- Total DFT energy (no corrections): -31.057 eV/cell
- Space group: I-42d (122)

---

(3)
A plane-wave DFT calculation with PBE-GGA was carried out for an optimized crystal structure of GdAlO2.

Cell lengths 3.067, 3.067, 19.579 Å; angles 90.00, 90.00, 120.00 degrees
Sites, in units of the cell vectors:
Gd 0.000 0.000 0.000
Gd 0.333 0.667 0.667
Gd 0.667 0.333 0.333
Al 0.000 0.000 0.500
Al 0.333 0.667 0.167
Al 0.667 0.333 0.833
O 0.000 0.000 0.119
O 0.000 0.000 0.881
O 0.333 0.667 0.548
O 0.333 0.667 0.785
O 0.667 0.333 0.215
O 0.667 0.333 0.452

## Properties
- Fermi-level density of states: 3.89 states/eV per cell
- Total DFT energy (no corrections): -109.747 eV/cell
- Space group: R-3m (166)

---

(4)
A plane-wave DFT calculation with PBE-GGA was carried out for an optimized crystal structure of TmZnSi4.

Cell lengths 5.182, 5.182, 5.182 Å; angles 60.00, 60.00, 60.00 degrees
Sites, in units of the cell vectors:
Tm 0.000 0.000 0.000
Zn 0.750 0.750 0.750
Si 0.376 0.376 0.376
Si 0.376 0.376 0.873
Si 0.376 0.873 0.376
Si 0.873 0.376 0.376

## Properties
- Fermi-level density of states: 1.63 states/eV per cell
- Total DFT energy (no corrections): -28.150 eV/cell
- Space group: F-43m (216)

---

(5)
A plane-wave DFT calculation with PBE-GGA was carried out for an optimized crystal structure of Mg3TeC.

Cell lengths 5.428, 5.428, 5.428 Å; angles 90.00, 90.00, 90.00 degrees
Sites, in units of the cell vectors:
Mg 0.000 0.000 0.500
Mg 0.000 0.500 0.000
Mg 0.500 0.000 0.000
Te 0.000 0.000 0.000
C 0.500 0.500 0.500

## Properties
- Fermi-level density of states: 3.67 states/eV per cell
- ΔE to the lowest computed polymorph: 1816 meV/atom
- Total DFT energy (no corrections): -9.265 eV/cell
- Space group: Pm-3m (221)

---

Q: Which value of Fermi-level density of states does entry 4 give?
A: 1.63 states/eV per cell

---

Repeat the fourth record exactly.
A plane-wave DFT calculation with PBE-GGA was carried out for an optimized crystal structure of TmZnSi4.

Cell lengths 5.182, 5.182, 5.182 Å; angles 60.00, 60.00, 60.00 degrees
Sites, in units of the cell vectors:
Tm 0.000 0.000 0.000
Zn 0.750 0.750 0.750
Si 0.376 0.376 0.376
Si 0.376 0.376 0.873
Si 0.376 0.873 0.376
Si 0.873 0.376 0.376

## Properties
- Fermi-level density of states: 1.63 states/eV per cell
- Total DFT energy (no corrections): -28.150 eV/cell
- Space group: F-43m (216)

---

Q: Look up the Fermi-level density of states of the third one.
A: 3.89 states/eV per cell

---

Q: Look up the total DFT energy (no corrections) of the third one.
A: -109.747 eV/cell